No. 1
Here is crystalline CuRu2Rh at its relaxed geometry from Alexandria via LeMat-Bulk. Energies are from GGA-PBE.

Computed properties:
The distance to the lowest polymorph of the same formula comes out at 0.296 eV per formula unit. As for the magnetization: 0.00 μB/f.u. The value obtained for the formation energy is 0.8 eV/f.u.

a = 3.870 Å, b = 2.696 Å, c = 5.880 Å
α = 62.71°, β = 90.00°, γ = 90.00°
Fractional positions:
1 Cu 0.500 0.250 0.250
2 Ru 0.000 0.511 0.489
3 Ru 0.000 0.989 0.011
4 Rh 0.500 0.750 0.750



No. 2
Here is crystalline Sc3NbAs at its relaxed geometry from Alexandria via LeMat-Bulk. Energies are from GGA-PBE.

Computed properties:
The distance to the lowest polymorph of the same formula comes out at 0.000 eV per formula unit. As for the magnetization: 2.62 μB/f.u. The value obtained for the formation energy is 0.7 eV/f.u.

a = 4.998 Å, b = 4.998 Å, c = 4.998 Å
α = 90.00°, β = 90.00°, γ = 90.00°
Site moments in Bohr magnetons follow the coordinates.
Fractional positions:
1 Sc 0.000 0.000 0.500  0.08
2 Sc 0.500 0.000 0.000  0.05
3 Sc 0.000 0.500 0.000  0.06
4 Nb 0.500 0.500 0.500  1.60
5 As 0.000 0.000 0.000  0.03



No. 3
Here is crystalline PuScTlCu at its relaxed geometry from Alexandria via LeMat-Bulk. Energies are from GGA-PBE.

Computed properties:
As for the magnetization: 5.65 μB/f.u. The value obtained for the formation energy is 0.1 eV/f.u.

a = 5.071 Å, b = 5.071 Å, c = 5.071 Å
α = 60.00°, β = 60.00°, γ = 60.00°
Site moments in Bohr magnetons follow the coordinates.
Fractional positions:
1 Sc 0.000 0.000 0.000  0.09
2 Tl 0.750 0.750 0.750  -0.02
3 Cu 0.250 0.250 0.250  0.01
4 Pu 0.500 0.500 0.500  5.28



No. 4
Here is crystalline LaBi3Pb at its relaxed geometry from Alexandria via LeMat-Bulk. Energies are from GGA-PBE.

Computed properties:
The distance to the lowest polymorph of the same formula comes out at 3.823 eV per formula unit. As for the magnetization: 0.00 μB/f.u. The value obtained for the formation energy is 1.7 eV/f.u.

a = 5.851 Å, b = 5.851 Å, c = 5.851 Å
α = 90.00°, β = 90.00°, γ = 90.00°
Fractional positions:
1 Bi 0.000 0.000 0.500
2 Bi 0.500 0.000 0.000
3 Bi 0.000 0.500 0.000
4 La 0.500 0.500 0.500
5 Pb 0.000 0.000 0.000